Entry 1:
This record from Alexandria via LeMat-Bulk describes a geometry-optimized NaTlBr2 structure. The functional is GGA-PBE.

Structure (POSCAR):
```
NaTlBr2
1.0
7.1160 0.0000 0.0000
0.0000 7.1160 0.0000
3.5580 3.5580 6.8492
Br Na Tl
4 2 2
Direct
0.3750 0.4192 0.7500
0.5808 0.1250 0.2500
0.1692 0.6250 0.2500
0.8750 0.8308 0.7500
0.2500 0.7500 0.5000
0.5000 0.5000 0.0000
0.7500 0.2500 0.5000
0.0000 0.0000 0.0000
```

The space group is I-42d. As for the polymorph energy (0 for the lowest one): 56 meV per atom. The spin magnetization is 0.0 μB per formula unit. The total DFT energy (no corrections) is -11.598 eV/f.u.



Entry 2:
This record from Alexandria via LeMat-Bulk describes a geometry-optimized Na2TlBr structure. The functional is GGA-PBE.

Structure (POSCAR):
```
Na2TlBr
1.0
-0.7165 7.3348 -3.9802
-6.7986 -2.8297 -3.9908
-5.8565 3.5057 -1.2984
Tl Na Br
2 4 2
Direct
0.7500 0.2500 0.5000
0.0000 0.0000 0.0000
0.1670 0.6250 0.2500
0.3750 0.4170 0.7500
0.5830 0.1250 0.2500
0.8750 0.8330 0.7500
0.5000 0.5000 0.0000
0.2500 0.7500 0.5000
```

The space group is I-42d. As for the polymorph energy (0 for the lowest one): 129 meV per atom. The spin magnetization is 0.0 μB per formula unit. The total DFT energy (no corrections) is -8.989 eV/f.u.



Entry 3:
This record from Alexandria via LeMat-Bulk describes a geometry-optimized NaTlBr3 structure. The functional is GGA-PBE.

Structure (POSCAR):
```
NaTlBr3
1.0
5.7896 0.0000 0.0000
0.0000 5.7896 0.0000
0.0000 0.0000 5.7896
Na Br Tl
1 3 1
Direct
0.5000 0.5000 0.5000
0.0000 0.0000 0.5000
0.5000 0.0000 0.0000
0.0000 0.5000 0.0000
0.0000 0.0000 0.0000
```

The space group is Pm-3m. As for the polymorph energy (0 for the lowest one): 162 meV per atom. The spin magnetization is 0.0 μB per formula unit. The total DFT energy (no corrections) is -12.662 eV/f.u.



Entry 4:
This record from Alexandria via LeMat-Bulk describes a geometry-optimized NaTl3Br structure. The functional is GGA-PBE.

Structure (POSCAR):
```
NaTl3Br
1.0
-1.2395 4.7902 2.9907
-4.4135 1.0884 -3.5725
-3.5229 -3.0490 3.4234
Tl Na Br
3 1 1
Direct
0.5000 0.0000 0.0000
0.0000 0.0000 0.5000
0.0000 0.5000 0.0000
0.0000 0.0000 0.0000
0.5000 0.5000 0.5000
```

The space group is Pm-3m. As for the polymorph energy (0 for the lowest one): 115 meV per atom. The spin magnetization is 0.0 μB per formula unit. The total DFT energy (no corrections) is -9.776 eV/f.u.



> Number 2 is which compound?

Na2TlBr



> Which formula does entry 1 have?

NaTlBr2



Please write out number 2 again, unchanged.
This record from Alexandria via LeMat-Bulk describes a geometry-optimized Na2TlBr structure. The functional is GGA-PBE.

Structure (POSCAR):
```
Na2TlBr
1.0
-0.7165 7.3348 -3.9802
-6.7986 -2.8297 -3.9908
-5.8565 3.5057 -1.2984
Tl Na Br
2 4 2
Direct
0.7500 0.2500 0.5000
0.0000 0.0000 0.0000
0.1670 0.6250 0.2500
0.3750 0.4170 0.7500
0.5830 0.1250 0.2500
0.8750 0.8330 0.7500
0.5000 0.5000 0.0000
0.2500 0.7500 0.5000
```

The space group is I-42d. As for the polymorph energy (0 for the lowest one): 129 meV per atom. The spin magnetization is 0.0 μB per formula unit. The total DFT energy (no corrections) is -8.989 eV/f.u.